Record 1
LuSbRu2 (GGA-PBEsol, optimized geometry); uncorrected formation energy = -519 meV/atom; space-group type = Fm-3m, No. 225; E = -31.851 eV/f.u.
1.0
0.000 3.208 3.208
3.208 0.000 3.208
3.208 3.208 0.000
Lu Sb Ru
1 1 2
Cartesian
0.000 0.000 0.000
3.208 3.208 3.208
1.604 1.604 1.604
4.812 4.812 4.812



Record 2
Sr3TbRhO6 (GGA-PBEsol, optimized geometry); uncorrected formation energy = -2610 meV/atom; space-group type = R-3c, No. 167; E = -78.879 eV/f.u.
1.0
4.861 2.806 3.760
-4.861 2.806 3.760
0.000 -5.613 3.760
Sr Tb Rh O
6 2 2 12
Cartesian
-3.067 0.300 4.700
-1.794 -2.506 6.580
1.274 -2.806 4.700
-1.274 2.806 6.580
1.794 2.506 4.700
3.067 -0.300 6.580
0.000 0.000 2.820
0.000 0.000 8.460
0.000 0.000 0.000
0.000 0.000 5.640
-4.206 -1.294 6.265
-0.982 -4.289 5.015
-0.982 -1.323 4.385
-3.224 2.995 5.015
-0.655 1.512 4.385
-1.637 0.189 6.895
1.637 -0.189 4.385
0.655 -1.512 6.895
3.224 -2.995 6.265
0.982 1.323 6.895
0.982 4.289 6.265
4.206 1.294 5.015



Record 3
BaSrAs2Br (GGA-PBEsol, optimized geometry); uncorrected formation energy = -282 meV/atom; space-group type = P4/mmm, No. 123; E = -17.484 eV/f.u.
1.0
5.665 0.000 0.000
0.000 5.665 0.000
0.000 0.000 5.976
Ba Sr As Br
1 1 2 1
Cartesian
0.000 0.000 0.000
2.832 2.832 2.988
0.000 2.832 0.000
2.832 0.000 0.000
0.000 0.000 2.988



Record 4
LiCuOs (GGA-PBEsol, optimized geometry); formation energy from the elements = 1304 meV/atom; space-group type = F-43m, No. 216; E = -14.605 eV/f.u.
1.0
0.000 2.844 2.844
2.844 0.000 2.844
2.844 2.844 0.000
Li Cu Os
1 1 1
Cartesian
0.000 0.000 0.000
2.844 2.844 2.844
4.266 4.266 4.266



Record 5
Tb5Mg (GGA-PBEsol, optimized geometry); distance to the lowest polymorph of the same formula = 10.1 meV per atom; formation energy from the elements = 20 meV/atom; space-group type = Amm2, No. 38; E = -26.644 eV/f.u.
1.0
5.551 0.000 0.000
0.000 1.768 8.893
0.000 -1.768 8.893
Tb Mg
5 1
Cartesian
0.000 0.000 0.000
0.000 0.000 5.870
0.000 0.000 11.895
2.775 0.000 9.785
2.775 0.000 15.660
2.775 0.000 3.856



Record 6
SrZrSb (GGA-PBEsol, optimized geometry); uncorrected formation energy = 242 meV/atom; distance to the lowest polymorph of the same formula = 583.4 meV per atom; space-group type = F-43m, No. 216; E = -14.761 eV/f.u.
1.0
0.000 3.578 3.578
3.578 0.000 3.578
3.578 3.578 0.000
Sr Zr Sb
1 1 1
Cartesian
0.000 0.000 0.000
1.789 1.789 1.789
3.578 3.578 3.578



Record 7
In2Hg (GGA-PBEsol, optimized geometry); distance to the lowest polymorph of the same formula = 4.8 meV per atom; formation energy from the elements = -11 meV/atom; space-group type = I4/mmm, No. 139; E = -6.565 eV/f.u.
1.0
-1.701 1.701 6.302
1.701 -1.701 6.302
1.701 1.701 -6.302
In Hg
2 1
Cartesian
0.000 0.000 2.044
0.000 0.000 10.559
0.000 0.000 6.302



Record 8
RuSe2SN (GGA-PBEsol, optimized geometry); uncorrected formation energy = 1031 meV/atom; space-group type = P4/mmm, No. 123; E = -25.627 eV/f.u.
1.0
4.807 0.000 0.000
0.000 4.807 0.000
0.000 0.000 3.180
Ru Se S N
1 2 1 1
Cartesian
0.000 0.000 0.000
0.000 2.403 1.590
2.403 0.000 1.590
2.403 2.403 1.590
2.403 2.403 0.000



Record 9
CaVSi4O10 (GGA-PBEsol, optimized geometry); uncorrected formation energy = -2684 meV/atom; space-group type = P4/ncc, No. 130; E = -130.186 eV/f.u.
1.0
7.378 0.000 0.000
0.000 7.378 0.000
0.000 0.000 15.282
Ca V Si O
4 4 16 40
Cartesian
1.844 5.533 0.000
1.844 5.533 7.641
5.533 1.844 0.000
5.533 1.844 7.641
1.844 1.844 1.221
1.844 1.844 8.862
5.533 5.533 6.420
5.533 5.533 14.061
0.006 0.578 5.382
0.006 3.111 13.023
0.578 0.006 13.023
0.578 3.683 5.382
3.111 0.006 5.382
3.111 3.683 13.023
3.683 0.578 13.023
3.683 3.111 5.382
3.695 4.267 9.900
3.695 6.800 2.259
4.267 3.695 2.259
4.267 7.372 9.900
6.800 3.695 9.900
6.800 7.372 2.259
7.372 4.267 2.259
7.372 6.800 9.900
0.007 1.084 1.234
0.007 2.605 8.875
0.017 5.186 9.584
0.017 5.881 1.943
0.333 4.022 3.821
0.333 7.045 11.462
1.084 0.007 8.875
1.084 3.682 1.234
1.497 3.706 13.339
1.497 7.361 5.698
2.192 3.706 5.698
2.192 7.361 13.339
2.605 0.007 1.234
2.605 3.682 8.875
3.356 4.022 11.462
3.356 7.045 3.821
3.672 5.186 1.943
3.672 5.881 9.584
3.682 1.084 8.875
3.682 2.605 1.234
3.696 4.773 14.048
3.696 6.294 6.407
3.706 1.497 5.698
3.706 2.192 13.339
4.022 0.333 11.462
4.022 3.356 3.821
4.773 3.696 6.407
4.773 7.371 14.048
5.186 0.017 1.943
5.186 3.672 9.584
5.881 0.017 9.584
5.881 3.672 1.943
6.294 3.696 14.048
6.294 7.371 6.407
7.045 0.333 3.821
7.045 3.356 11.462
7.361 1.497 13.339
7.361 2.192 5.698
7.371 4.773 6.407
7.371 6.294 14.048



Record 10
MnBeAs2 (GGA-PBEsol, optimized geometry); distance to the lowest polymorph of the same formula = 0.0 meV per atom; formation energy from the elements = 89 meV/atom; space-group type = Imm2, No. 44; E = -23.619 eV/f.u.
1.0
-1.538 1.694 5.666
1.538 -1.694 5.666
1.538 1.694 -5.666
Mn Be As
1 1 2
Cartesian
0.000 0.000 0.000
1.538 0.000 4.111
0.000 0.000 6.633
0.000 1.694 3.725



Record 11
KSc2PPt (GGA-PBEsol, optimized geometry); formation energy from the elements = 1460 meV/atom; space-group type = P4/mmm, No. 123; E = -19.798 eV/f.u.
1.0
4.573 0.000 0.000
0.000 4.573 0.000
0.000 0.000 4.867
K Sc P Pt
1 2 1 1
Cartesian
0.000 0.000 0.000
0.000 2.287 0.000
2.287 0.000 0.000
0.000 0.000 2.434
2.287 2.287 2.434



Record 12
SnSbH2I (GGA-PBEsol, optimized geometry); space-group type = P4/mmm, No. 123; E = -14.500 eV/f.u.
1.0
4.083 0.000 0.000
0.000 4.083 0.000
0.000 0.000 8.596
Sn Sb H I
1 1 2 1
Cartesian
0.000 0.000 0.000
2.042 2.042 0.000
0.000 2.042 4.298
2.042 0.000 4.298
2.042 2.042 4.298



What are the total moment values for these records? In order: 0.0 0.0 0.0 2.1 0.0 2.7 0.0 0.0 3.0 1.7 0.0 0.0 μB/f.u..